(1)
# Re2TeP, optimized geometry, DFT PBEsol
# Offset from the most stable computed form   0.00 kcal/mol of atoms
# Formation energy (no corrections)   0.17 eV per atom
# Raw total energy   -35.3 eV for the cell shown
data_Re2TeP
_chemical_formula_sum 'Re2 Te1 P1'
_cell_length_a 3.0971
_cell_length_b 4.4715
_cell_length_c 4.7106
_cell_angle_alpha 90.00
_cell_angle_beta 90.00
_cell_angle_gamma 90.00
_space_group_name_H-M_alt 'P m m 2'
_space_group_IT_number 25
loop_
_space_group_symop_operation_xyz
'x,y,z'
'-x,-y,z'
'-x,y,z'
'x,-y,z'
loop_
_atom_site_label
_atom_site_fract_x
_atom_site_fract_y
_atom_site_fract_z
Re1 0.0000 0.0000 0.0000
Re2 0.5000 0.5000 0.1942
Te1 0.0000 0.5000 0.6879
P1 0.5000 0.0000 0.3819



(2)
# Re2TeP, optimized geometry, DFT PBEsol
# Offset from the most stable computed form   3.94 kcal/mol of atoms
# Formation energy (no corrections)   0.34 eV per atom
# Raw total energy   -34.6 eV for the cell shown
data_Re2TeP
_chemical_formula_sum 'Re2 Te1 P1'
_cell_length_a 3.0834
_cell_length_b 3.0834
_cell_length_c 6.3841
_cell_angle_alpha 90.00
_cell_angle_beta 90.00
_cell_angle_gamma 90.00
_space_group_name_H-M_alt 'P 4/m m m'
_space_group_IT_number 123
_space_group_name_Hall '-P 4 2'
loop_
_atom_site_label
_atom_site_fract_x
_atom_site_fract_y
_atom_site_fract_z
Re1 0.0000 0.0000 0.2131
Te1 0.5000 0.5000 0.5000
P1 0.5000 0.5000 0.0000



(3)
# Re2TeP, optimized geometry, DFT PBEsol
# Offset from the most stable computed form   19.27 kcal/mol of atoms
# Formation energy (no corrections)   1.00 eV per atom
# Raw total energy   -32.0 eV for the cell shown
data_Re2TeP
_chemical_formula_sum 'Re2 Te1 P1'
_cell_length_a 3.0812
_cell_length_b 4.1521
_cell_length_c 5.0696
_cell_angle_alpha 90.00
_cell_angle_beta 90.00
_cell_angle_gamma 90.00
_space_group_name_H-M_alt 'P m m m'
_space_group_IT_number 47
loop_
_space_group_symop_operation_xyz
'x,y,z'
'-x,-y,-z'
'-x,-y,z'
'x,y,-z'
'x,-y,-z'
'-x,y,z'
'-x,y,-z'
'x,-y,z'
loop_
_atom_site_label
_atom_site_fract_x
_atom_site_fract_y
_atom_site_fract_z
Re1 0.0000 0.0000 0.0000
Re2 0.5000 0.0000 0.5000
Te1 0.0000 0.5000 0.5000
P1 0.5000 0.5000 0.0000



(4)
# ReTe2P, optimized geometry, DFT PBEsol
# Formation energy (no corrections)   0.41 eV per atom
# Raw total energy   -49.0 eV for the cell shown
data_ReTe2P
_chemical_formula_sum 'Re2 Te4 P2'
_cell_length_a 3.1463
_cell_length_b 4.8277
_cell_length_c 11.4491
_cell_angle_alpha 90.00
_cell_angle_beta 90.00
_cell_angle_gamma 90.00
_space_group_name_H-M_alt 'I m m 2'
_space_group_IT_number 44
loop_
_space_group_symop_operation_xyz
'x,y,z'
'-x,-y,z'
'-x,y,z'
'x,-y,z'
'x+1/2,y+1/2,z+1/2'
'-x+1/2,-y+1/2,z+1/2'
'-x+1/2,y+1/2,z+1/2'
'x+1/2,-y+1/2,z+1/2'
loop_
_atom_site_label
_atom_site_fract_x
_atom_site_fract_y
_atom_site_fract_z
Re1 0.0000 0.0000 0.0000
Te1 0.0000 0.0000 0.5165
Te2 0.0000 0.5000 0.2999
P1 0.0000 0.5000 0.6558



(5)
# TiRe3P, optimized geometry, DFT PBEsol
# Raw total energy   -51.3 eV for the cell shown
# DFT formation energy   0.562 eV per atom
data_TiRe3P
_chemical_formula_sum 'Ti1 Re3 P1'
_cell_length_a 4.3213
_cell_length_b 4.3213
_cell_length_c 4.3213
_cell_angle_alpha 90.00
_cell_angle_beta 90.00
_cell_angle_gamma 90.00
_space_group_name_H-M_alt 'P m -3 m'
_space_group_IT_number 221
_space_group_name_Hall '-P 4 2 3'
loop_
_atom_site_label
_atom_site_fract_x
_atom_site_fract_y
_atom_site_fract_z
Ti1 0.0000 0.0000 0.0000
Re1 0.0000 0.5000 0.5000
P1 0.5000 0.5000 0.5000



(6)
# YTi2ReP, optimized geometry, DFT PBEsol
# Raw total energy   -41.1 eV for the cell shown
# DFT formation energy   0.290 eV per atom
data_YTi2ReP
_chemical_formula_sum 'Y1 Ti2 Re1 P1'
_cell_length_a 4.4305
_cell_length_b 4.4305
_cell_length_c 5.0080
_cell_angle_alpha 90.00
_cell_angle_beta 90.00
_cell_angle_gamma 90.00
_space_group_name_H-M_alt 'P 4/m m m'
_space_group_IT_number 123
_space_group_name_Hall '-P 4 2'
loop_
_atom_site_label
_atom_site_fract_x
_atom_site_fract_y
_atom_site_fract_z
Y1 0.0000 0.0000 0.0000
Ti1 0.0000 0.5000 0.5000
Re1 0.5000 0.5000 0.0000
P1 0.0000 0.0000 0.5000



(7)
# Zr2TiReP, optimized geometry, DFT PBEsol
# Raw total energy   -45.2 eV for the cell shown
# DFT formation energy   0.084 eV per atom
data_Zr2TiReP
_chemical_formula_sum 'Zr2 Ti1 Re1 P1'
_cell_length_a 4.8026
_cell_length_b 4.8026
_cell_length_c 4.3165
_cell_angle_alpha 90.00
_cell_angle_beta 90.00
_cell_angle_gamma 90.00
_space_group_name_H-M_alt 'P 4/m m m'
_space_group_IT_number 123
_space_group_name_Hall '-P 4 2'
loop_
_atom_site_label
_atom_site_fract_x
_atom_site_fract_y
_atom_site_fract_z
Zr1 0.0000 0.5000 0.0000
Ti1 0.0000 0.0000 0.5000
Re1 0.5000 0.5000 0.5000
P1 0.5000 0.5000 0.0000



(8)
# TlRe3P, optimized geometry, DFT PBEsol
# Raw total energy   -29.6 eV for the cell shown
# DFT formation energy   3.766 eV per atom
data_TlRe3P
_chemical_formula_sum 'Tl1 Re3 P1'
_cell_length_a 4.8683
_cell_length_b 4.8683
_cell_length_c 4.8683
_cell_angle_alpha 90.00
_cell_angle_beta 90.00
_cell_angle_gamma 90.00
_space_group_name_H-M_alt 'P m -3 m'
_space_group_IT_number 221
_space_group_name_Hall '-P 4 2 3'
loop_
_atom_site_label
_atom_site_fract_x
_atom_site_fract_y
_atom_site_fract_z
Tl1 0.0000 0.0000 0.0000
Re1 0.0000 0.0000 0.5000
P1 0.5000 0.5000 0.5000



(9)
# Tl2ReP, optimized geometry, DFT PBEsol
# Offset from the most stable computed form   9.83 kcal/mol of atoms
# Raw total energy   -43.6 eV for the cell shown
# DFT formation energy   0.644 eV per atom
data_Tl2ReP
_chemical_formula_sum 'Tl4 Re2 P2'
_cell_length_a 4.4720
_cell_length_b 2.9706
_cell_length_c 14.2831
_cell_angle_alpha 90.00
_cell_angle_beta 90.00
_cell_angle_gamma 90.00
_space_group_name_H-M_alt 'A m m 2'
_space_group_IT_number 38
loop_
_space_group_symop_operation_xyz
'x,y,z'
'-x,-y,z'
'-x,y,z'
'x,-y,z'
'x,y+1/2,z+1/2'
'-x,-y+1/2,z+1/2'
'-x,y+1/2,z+1/2'
'x,-y+1/2,z+1/2'
loop_
_atom_site_label
_atom_site_fract_x
_atom_site_fract_y
_atom_site_fract_z
Tl1 0.0000 0.0000 0.0000
Tl2 0.5000 0.0000 0.3506
Re1 0.5000 0.0000 0.6746
P1 0.0000 0.0000 0.6803



(10)
# TlRe4P, optimized geometry, DFT PBEsol
# Raw total energy   -223.8 eV for the cell shown
# DFT formation energy   0.968 eV per atom
data_TlRe4P
_chemical_formula_sum 'Tl4 Re16 P4'
_cell_length_a 7.3838
_cell_length_b 7.3838
_cell_length_c 7.3838
_cell_angle_alpha 90.00
_cell_angle_beta 90.00
_cell_angle_gamma 90.00
_space_group_name_H-M_alt 'F -4 3 m'
_space_group_IT_number 216
_space_group_name_Hall 'F -4 2 3'
loop_
_atom_site_label
_atom_site_fract_x
_atom_site_fract_y
_atom_site_fract_z
Tl1 0.0000 0.0000 0.0000
Re1 0.1242 0.1242 0.6242
P1 0.2500 0.2500 0.2500



(11)
# TlReP4, optimized geometry, DFT PBEsol
# Raw total energy   -131.6 eV for the cell shown
# DFT formation energy   1.039 eV per atom
data_TlReP4
_chemical_formula_sum 'Tl4 Re4 P16'
_cell_length_a 7.2308
_cell_length_b 7.2308
_cell_length_c 7.2308
_cell_angle_alpha 90.00
_cell_angle_beta 90.00
_cell_angle_gamma 90.00
_space_group_name_H-M_alt 'F -4 3 m'
_space_group_IT_number 216
_space_group_name_Hall 'F -4 2 3'
loop_
_atom_site_label
_atom_site_fract_x
_atom_site_fract_y
_atom_site_fract_z
Tl1 0.0000 0.0000 0.0000
Re1 0.2500 0.2500 0.7500
P1 0.1209 0.1209 0.3791



(12)
# Tl2ReP, optimized geometry, DFT PBEsol
# Offset from the most stable computed form   0.00 kcal/mol of atoms
# Raw total energy   -70.5 eV for the cell shown
# DFT formation energy   0.218 eV per atom
data_Tl2ReP
_chemical_formula_sum 'Tl6 Re3 P3'
_cell_length_a 3.1261
_cell_length_b 3.1261
_cell_length_c 29.2249
_cell_angle_alpha 90.00
_cell_angle_beta 90.00
_cell_angle_gamma 120.00
_space_group_name_H-M_alt 'R 3 m'
_space_group_IT_number 160
_space_group_name_Hall 'R 3 -2"'
loop_
_atom_site_label
_atom_site_fract_x
_atom_site_fract_y
_atom_site_fract_z
Tl1 0.0000 0.0000 0.0000
Tl2 0.0000 0.0000 0.2285
Re1 0.0000 0.0000 0.7492
P1 0.0000 0.0000 0.4668



| no. | M_tot (μB per cell) |
| --- | --- |
| 1 | 0.0 |
| 2 | 0.0 |
| 3 | 0.0 |
| 4 | 0.0 |
| 5 | 0.0 |
| 6 | 0.0 |
| 7 | 0.0 |
| 8 | 3.3 |
| 9 | 0.0 |
| 10 | 0.0 |
| 11 | 3.3 |
| 12 | 0.0 |